--- w ---
A plane-wave DFT calculation with PBE was carried out for a geometry-optimized ReBr3 structure.

Results
The value obtained for the size of the total moment is 0.000 μB per atom. For the density of states at the Fermi level, the calculation gives 3.4 states/eV per cell.

Lattice parameters (Å, degrees): 10.6304 10.6304 10.6304 18.26 18.26 18.26
Last column: nearest neighbours and their distance in Å.
Fractional coordinates of all 4 atoms:
Br 0.1120 0.1120 0.1120  3 Re 2.59
Br 0.8880 0.8880 0.8880  3 Re 2.59
Br 0.0000 0.0000 0.0000  8 Br 3.37-3.51
Re 0.5000 0.5000 0.5000  6 Br 2.59

=====

--- x ---
A plane-wave DFT calculation with PBE was carried out for a geometry-optimized ReBr3 structure.

Results
The value obtained for the size of the total moment is 1.000 μB per atom. For the density of states at the Fermi level, the calculation gives 2.6 states/eV per cell.

Lattice parameters (Å, degrees): 5.0815 5.0815 5.0815 60.00 60.00 60.00
Last column: nearest neighbours and their distance in Å.
Fractional coordinates of all 4 atoms:
Br 0.0000 0.0000 0.0000  8 Br 3.11
Br 0.2500 0.2500 0.2500  4 Re 3.11, 4 Br 3.11
Br 0.7500 0.7500 0.7500  4 Br 3.11, 4 Re 3.11
Re 0.5000 0.5000 0.5000  8 Br 3.11

=====

--- y ---
A plane-wave DFT calculation with PBE was carried out for a geometry-optimized ReBr3 structure.

Results
The value obtained for the size of the total moment is 0.922 μB per atom. For the density of states at the Fermi level, the calculation gives 4.4 states/eV per cell.

Lattice parameters (Å, degrees): 5.6457 5.6457 5.6457 115.57 115.57 115.57
Last column: nearest neighbours and their distance in Å.
Fractional coordinates of all 4 atoms:
Re 0.5000 0.5000 0.0000  6 Br 3.01
Br 0.0000 0.5000 0.5000  4 Br 3.01, 2 Re 3.01
Br 0.0000 0.0000 0.0000  4 Br 3.01, 2 Re 3.01
Br 0.5000 0.0000 0.5000  2 Re 3.01, 4 Br 3.01

=====

--- z ---
A plane-wave DFT calculation with PBE was carried out for a geometry-optimized ReBr3 structure.

Results
The value obtained for the size of the total moment is 0.583 μB per atom. For the density of states at the Fermi level, the calculation gives 1.6 states/eV per cell.

Lattice parameters (Å, degrees): 3.6726 7.1585 7.1567 42.20 90.00 90.00
Last column: nearest neighbours and their distance in Å.
Fractional coordinates of all 4 atoms:
Br 0.5000 0.7500 0.7500  2 Re 2.58
Br 0.0000 0.1167 0.1168  2 Re 2.56
Br 0.0000 0.3833 0.3832  2 Re 2.56
Re 0.5000 0.2500 0.2500  6 Br 2.56-2.58

=====

The structure with the greatest stability is z.

=====

--- w ---
A plane-wave DFT calculation with PBE was carried out for a geometry-optimized ReBr3 structure.

Results
The value obtained for the size of the total moment is 0.265 μB per atom. For the density of states at the Fermi level, the calculation gives 5.2 states/eV per cell.

Lattice parameters (Å, degrees): 3.2298 3.2298 10.2469 90.00 90.00 120.00
Last column: nearest neighbours and their distance in Å.
Fractional coordinates of all 4 atoms:
Br 0.0000 0.0000 0.9365  3 Re 2.67
Br 0.0000 0.0000 0.5635  3 Re 2.67
Br 0.6667 0.3333 0.2500  6 Br 3.23
Re 0.6667 0.3333 0.7500  6 Br 2.67

=====

--- x ---
A plane-wave DFT calculation with PBE was carried out for a geometry-optimized ReBr3 structure.

Results
The value obtained for the size of the total moment is 0.131 μB per atom. For the density of states at the Fermi level, the calculation gives 13.5 states/eV per cell.

Lattice parameters (Å, degrees): 5.8781 6.5398 11.7690 90.00 90.00 90.00
Last column: nearest neighbours and their distance in Å.
Fractional coordinates of all 16 atoms:
Br 0.2024 0.3474 0.1132  2 Re 2.55-2.57
Br 0.7976 0.6526 0.6132  2 Re 2.55-2.57
Br 0.2976 0.8474 0.1132  2 Re 2.55-2.57
Br 0.2976 0.8474 0.3868  2 Re 2.55-2.57
Br 0.7024 0.1526 0.6132  2 Re 2.55-2.57
Br 0.6787 0.4615 0.2500  2 Re 2.50-2.63
Br 0.8213 0.9615 0.2500  2 Re 2.50-2.63
Br 0.7976 0.6526 0.8868  2 Re 2.55-2.57
Br 0.7024 0.1526 0.8868  2 Re 2.55-2.57
Br 0.3213 0.5385 0.7500  2 Re 2.50-2.63
Br 0.2024 0.3474 0.3868  2 Re 2.55-2.57
Br 0.1787 0.0385 0.7500  2 Re 2.50-2.63
Re 0.5636 0.8765 0.7500  6 Br 2.50-2.63
Re 0.0636 0.6235 0.2500  6 Br 2.50-2.63
Re 0.9364 0.3765 0.7500  6 Br 2.50-2.63
Re 0.4364 0.1235 0.2500  6 Br 2.50-2.63

=====

--- y ---
A plane-wave DFT calculation with PBE was carried out for a geometry-optimized ReBr3 structure.

Results
The value obtained for the size of the total moment is 0.000 μB per atom. For the density of states at the Fermi level, the calculation gives 2.2 states/eV per cell.

Lattice parameters (Å, degrees): 3.9242 3.9242 9.0326 82.30 82.30 45.97
Last column: nearest neighbours and their distance in Å.
Fractional coordinates of all 4 atoms:
Br 0.7341 0.7341 0.8376  3 Re 2.58
Br 0.5000 0.5000 0.5000  2 Br 3.06
Br 0.2659 0.2659 0.1624  3 Re 2.58
Re 0.0000 0.0000 0.0000  6 Br 2.58

=====

The structure with the greatest stability is x.

=====

--- w ---
A plane-wave DFT calculation with PBE was carried out for a geometry-optimized ReBr3 structure.

Results
The value obtained for the size of the total moment is 0.500 μB per atom. For the density of states at the Fermi level, the calculation gives 1.9 states/eV per cell.

Lattice parameters (Å, degrees): 6.7250 6.7250 6.7250 150.46 119.38 68.86
Last column: nearest neighbours and their distance in Å.
Fractional coordinates of all 4 atoms:
Br 0.4688 0.4010 0.0678  2 Re 2.58
Br 0.1668 0.0990 0.0678  2 Re 2.58
Br 0.7403 0.2500 0.4903  2 Re 2.57
Re 0.4575 0.7500 0.7075  6 Br 2.57-2.58

=====

--- x ---
A plane-wave DFT calculation with PBE was carried out for a geometry-optimized ReBr3 structure.

Results
The value obtained for the size of the total moment is 0.118 μB per atom. For the density of states at the Fermi level, the calculation gives 5.9 states/eV per cell.

Lattice parameters (Å, degrees): 13.4731 13.4731 13.4731 162.31 162.31 25.12
Last column: nearest neighbours and their distance in Å.
Fractional coordinates of all 8 atoms:
Br 0.5000 0.0000 0.5000  4 Br 2.93
Br 0.1433 0.1433 0.0000  4 Re 3.23, 4 Br 3.49
Br 0.2500 0.7500 0.5000  4 Re 2.52
Br 0.0000 0.5000 0.5000  4 Br 2.93
Br 0.7500 0.2500 0.5000  4 Re 2.52
Br 0.8567 0.8567 0.0000  4 Re 3.23, 4 Br 3.49
Re 0.3048 0.3048 0.0000  4 Br 2.52
Re 0.6952 0.6952 0.0000  4 Br 2.52

=====

The structure with the greatest stability is w.

=====

--- w ---
A plane-wave DFT calculation with PBE was carried out for a geometry-optimized ReBr3 structure.

Results
The value obtained for the size of the total moment is 0.000 μB per atom. For the density of states at the Fermi level, the calculation gives 3.9 states/eV per cell.

Lattice parameters (Å, degrees): 7.3306 7.3306 6.7856 57.31 57.31 90.00
Last column: nearest neighbours and their distance in Å.
Fractional coordinates of all 8 atoms:
Br 0.7243 0.1250 0.2500  2 Re 2.40
Br 0.3750 0.2757 0.7500  2 Re 2.40
Br 0.8750 0.9743 0.7500  2 Re 2.40
Br 0.0257 0.6250 0.2500  2 Re 2.40
Br 0.2500 0.7500 0.5000  4 Br 3.33
Br 0.5000 0.5000 0.0000  4 Br 3.33
Re 0.0000 0.0000 0.0000  4 Br 2.40
Re 0.7500 0.2500 0.5000  4 Br 2.40

=====

--- x ---
A plane-wave DFT calculation with PBE was carried out for a geometry-optimized ReBr3 structure.

Results
The value obtained for the size of the total moment is 0.000 μB per atom. For the density of states at the Fermi level, the calculation gives 4.3 states/eV per cell.

Lattice parameters (Å, degrees): 3.1686 3.1686 9.2289 90.00 90.00 90.00
Last column: nearest neighbours and their distance in Å.
Fractional coordinates of all 4 atoms:
Br 0.0000 0.0000 0.9194  4 Re 2.73
Br 0.5000 0.5000 0.2500  4 Br 3.17
Br 0.0000 0.0000 0.5806  4 Re 2.73
Re 0.5000 0.5000 0.7500  8 Br 2.73

=====

--- y ---
A plane-wave DFT calculation with PBE was carried out for a geometry-optimized ReBr3 structure.

Results
The value obtained for the size of the total moment is 0.000 μB per atom. For the density of states at the Fermi level, the calculation gives 3.7 states/eV per cell.

Lattice parameters (Å, degrees): 9.3768 9.3768 9.3768 21.18 21.18 21.18
Last column: nearest neighbours and their distance in Å.
Fractional coordinates of all 4 atoms:
Br 0.5000 0.5000 0.5000  12 Br 3.45-3.54
Br 0.7269 0.7269 0.7269  3 Re 2.59
Br 0.2731 0.2731 0.2731  3 Re 2.59
Re 0.0000 0.0000 0.0000  6 Br 2.59

=====

--- z ---
A plane-wave DFT calculation with PBE was carried out for a geometry-optimized ReBr3 structure.

Results
The value obtained for the size of the total moment is 1.029 μB per atom. For the density of states at the Fermi level, the calculation gives 2.6 states/eV per cell.

Lattice parameters (Å, degrees): 4.6250 6.8168 3.3393 90.00 90.00 91.43
Last column: nearest neighbours and their distance in Å.
Fractional coordinates of all 4 atoms:
Br 0.5000 0.5000 0.0000  4 Br 2.85
Br 0.5000 0.0000 0.5000  4 Re 2.85
Br 0.0000 0.5000 0.5000  4 Br 2.85
Re 0.0000 0.0000 0.0000  4 Br 2.85

=====

The structure with the greatest stability is y.